Record 1
Cs2InTeI3 PBE relaxed; space group = Immm (71); uncorrected energy = -2.673 eV per atom
1.0
-1.852 -2.247 -5.001
4.325 -4.325 0.342
-7.435 -2.525 7.235
Cs In Te I
2 1 1 3
Direct
0.640 0.640 0.280
0.360 0.360 0.720
0.000 0.000 0.000
0.500 0.000 0.000
0.000 0.500 0.000
0.160 0.160 0.321
0.840 0.840 0.679


Record 2
Tb6Te3PtSe2 PBE relaxed; space group = C2/m (12); uncorrected energy = -5.671 eV per atom
1.0
-3.156 2.703 0.098
-3.485 -3.816 -7.000
-2.151 -5.966 7.195
Tb Te Pt Se
6 3 1 2
Direct
0.343 0.906 0.686
0.672 0.567 0.343
0.657 0.094 0.314
0.002 0.219 0.005
0.998 0.781 0.995
0.328 0.433 0.657
0.500 0.500 0.000
0.829 0.169 0.657
0.171 0.831 0.343
0.500 0.000 0.000
0.832 0.665 0.665
0.168 0.335 0.335


Record 3
CeCd2Au2 PBE relaxed; space group = P2_1/m (11); energy above the lowest structure with this stoichiometry = 6.3 kJ/mol of atoms; calculated formation energy = -0.353 eV/atom
1.0
-1.714 1.993 -2.228
-4.159 -2.574 0.896
-2.779 8.521 9.762
Ce Cd Au
2 4 4
Direct
0.250 0.735 0.253
0.750 0.265 0.747
0.250 0.776 0.866
0.750 0.224 0.134
0.250 0.251 0.524
0.750 0.749 0.476
0.250 0.759 0.654
0.750 0.241 0.346
0.250 0.278 0.954
0.750 0.722 0.046


Record 4
TbZrGaOs PBE relaxed; space group = F-43m (216); calculated formation energy = -0.325 eV/atom
1.0
4.826 0.000 0.000
2.413 4.179 0.000
2.413 1.393 3.940
Tb Os Ga Zr
1 1 1 1
Direct
0.250 0.250 0.250
0.000 0.000 0.000
0.500 0.500 0.500
0.750 0.750 0.750


Theoretical density
In order: 4.244 8.549 11.103 10.660
Unit: g cm⁻³